The following is a PBE calculation of a relaxed Ca2ZnIn6Ni crystal, from Alexandria via LeMat-Bulk.

Cell lengths 7.8501, 7.2105, 9.2171 Å; angles 90.00, 90.00, 90.00 degrees
Closest atoms and distances in Å follow each position.
Atoms (fractional coordinates):
Ca 0.5000 0.7378 0.2760  1 Ni 3.15, 1 Zn 3.33, 1 In 3.52
Ca 0.0000 0.2622 0.7760  1 Ni 3.15, 1 Zn 3.33, 1 In 3.52
Ca 0.5000 0.7378 0.7240  1 Ni 3.15, 1 Zn 3.33, 1 In 3.52
Ca 0.0000 0.2622 0.2240  1 Ni 3.15, 1 Zn 3.33, 1 In 3.52
Zn 0.0000 0.5602 0.5000  4 In 2.66-2.74
Zn 0.5000 0.4398 0.0000  4 In 2.66-2.74
In 0.5000 0.2248 0.2450  1 Ni 2.61, 1 Zn 2.74
In 0.5000 0.2248 0.7550  1 Ni 2.61, 1 Zn 2.74
In 0.0000 0.7752 0.2550  1 Ni 2.61, 1 Zn 2.74
In 0.0000 0.7752 0.7450  1 Ni 2.61, 1 Zn 2.74
In 0.1972 0.9609 0.5000  1 Ni 2.50
In 0.8028 0.9609 0.5000  1 Ni 2.50
In 0.3042 0.3965 0.5000  1 Zn 2.66, 1 Ni 2.82
In 0.6958 0.3965 0.5000  1 Zn 2.66, 1 Ni 2.82
In 0.8042 0.6035 0.0000  1 Zn 2.66, 1 Ni 2.82
In 0.1958 0.6035 0.0000  1 Zn 2.66, 1 Ni 2.82
In 0.3028 0.0391 0.0000  1 Ni 2.50
In 0.6972 0.0391 0.0000  1 Ni 2.50
Ni 0.5000 0.0679 0.5000  4 In 2.50-2.61
Ni 0.0000 0.9321 0.0000  4 In 2.50-2.61

Density of states at the Fermi level   9.978 states/eV/cell
SG   Pmmn
Crystal system   orthorhombic
Energy of formation from the pure elements   -160 meV/atom
Final energy   -58.184 eV for the cell shown

=====

The following is a PBE calculation of a relaxed Mo2N3 crystal, from Alexandria via LeMat-Bulk.

Cell lengths 5.7819, 6.1207, 10.3732 Å; angles 77.31, 75.39, 86.33 degrees
Closest atoms and distances in Å follow each position.
Atoms (fractional coordinates):
Mo 0.0910 0.2141 0.1734  4 N 1.84-2.05
Mo 0.9090 0.7859 0.8266  4 N 1.84-2.05
Mo 0.6204 0.5998 0.6937  4 N 1.86-2.05
Mo 0.3796 0.4002 0.3063  4 N 1.86-2.05
Mo 0.5659 0.9654 0.3504  4 N 1.91-2.10
Mo 0.4341 0.0346 0.6496  4 N 1.91-2.10
Mo 0.1734 0.3450 0.8009  3 N 1.84-2.02
Mo 0.8266 0.6550 0.1991  3 N 1.84-2.02
N 0.9379 0.5283 0.7259  3 Mo 1.92-2.05
N 0.0621 0.4717 0.2741  3 Mo 1.92-2.05
N 0.8692 0.7185 0.0129  2 Mo 1.84
N 0.1308 0.2815 0.9871  2 Mo 1.84
N 0.5127 0.3113 0.6923  3 Mo 1.91-2.02
N 0.4873 0.6887 0.3077  3 Mo 1.91-2.02
N 0.1121 0.0456 0.7556  3 Mo 1.91-2.06
N 0.8879 0.9544 0.2444  3 Mo 1.91-2.06
N 0.5969 0.8502 0.7990  3 Mo 1.90-2.10
N 0.4031 0.1498 0.2010  3 Mo 1.90-2.10
N 0.3965 0.2059 0.4689  2 Mo 1.86-1.99
N 0.6035 0.7941 0.5311  2 Mo 1.86-1.99

Density of states at the Fermi level   8.049 states/eV/cell
SG   P-1
Crystal system   triclinic
Final energy   -188.289 eV for the cell shown

=====

The following is a PBE calculation of a relaxed SmNp2Sn9 crystal, from Alexandria via LeMat-Bulk.

Cell lengths 4.6769, 4.6769, 14.0537 Å; angles 90.00, 90.00, 90.00 degrees
Closest atoms and distances in Å follow each position.
Atoms (fractional coordinates):
Sm 0.0000 0.0000 0.0000  12 Sn 3.31-3.35
Np 0.0000 0.0000 0.3367  12 Sn 3.28-3.31
Np 0.0000 0.0000 0.6633  12 Sn 3.28-3.31
Sn 0.5000 0.5000 0.0000  4 Sm 3.31, 8 Sn 3.35
Sn 0.5000 0.5000 0.3351  8 Sn 3.28-3.29, 4 Np 3.31
Sn 0.5000 0.5000 0.6649  8 Sn 3.28-3.29, 4 Np 3.31
Sn 0.5000 0.0000 0.1712  8 Sn 3.28-3.35, 2 Np 3.30, 2 Sm 3.35
Sn 0.5000 0.0000 0.5000  4 Np 3.28, 8 Sn 3.29-3.31
Sn 0.5000 0.0000 0.8288  8 Sn 3.28-3.35, 2 Np 3.30, 2 Sm 3.35
Sn 0.0000 0.5000 0.1712  8 Sn 3.28-3.35, 2 Np 3.30, 2 Sm 3.35
Sn 0.0000 0.5000 0.5000  4 Np 3.28, 8 Sn 3.29-3.31
Sn 0.0000 0.5000 0.8288  8 Sn 3.28-3.35, 2 Np 3.30, 2 Sm 3.35

Density of states at the Fermi level   24.948 states/eV/cell
SG   P4/mmm
Crystal system   tetragonal
Energy of formation from the pure elements   -255 meV/atom
Final energy   -69.682 eV for the cell shown